An optimized crystal structure of La7Pm12Pb, computed with PBE-GGA.

Unit cell a=8.9455 b=8.9455 c=8.9455 alpha=89.15 beta=89.15 gamma=89.15
With the nearest neighbours (Å) after each atom.
Positions (direct):
La 0.0000 0.0000 0.0000  6 La 3.66, 6 Pm 3.72
La 0.1166 0.7118 0.2702  6 Pm 3.27-3.66, 1 La 3.66
La 0.2702 0.1166 0.7118  6 Pm 3.27-3.66, 1 La 3.66
La 0.2882 0.7298 0.8834  6 Pm 3.27-3.66, 1 La 3.66
La 0.7118 0.2702 0.1166  6 Pm 3.27-3.66, 1 La 3.66
La 0.7298 0.8834 0.2882  6 Pm 3.27-3.66, 1 La 3.66
La 0.8834 0.2882 0.7298  6 Pm 3.27-3.66, 1 La 3.66
Pm 0.0441 0.1547 0.3799  6 Pm 3.57-3.94, 5 La 3.63-3.94
Pm 0.1547 0.3799 0.0441  6 Pm 3.57-3.94, 5 La 3.63-3.94
Pm 0.1628 0.4949 0.6167  1 Pb 3.18, 2 La 3.27-3.42
Pm 0.3799 0.0441 0.1547  6 Pm 3.57-3.94, 5 La 3.63-3.94
Pm 0.3833 0.8372 0.5051  1 Pb 3.18, 2 La 3.27-3.42
Pm 0.4949 0.6167 0.1628  1 Pb 3.18, 2 La 3.27-3.42
Pm 0.5051 0.3833 0.8372  1 Pb 3.18, 2 La 3.27-3.42
Pm 0.6167 0.1628 0.4949  1 Pb 3.18, 2 La 3.27-3.42
Pm 0.6201 0.9559 0.8453  6 Pm 3.57-3.94, 5 La 3.63-3.94
Pm 0.8372 0.5051 0.3833  1 Pb 3.18, 2 La 3.27-3.42
Pm 0.8453 0.6201 0.9559  6 Pm 3.57-3.94, 5 La 3.63-3.94
Pm 0.9559 0.8453 0.6201  6 Pm 3.57-3.94, 5 La 3.63-3.94
Pb 0.5000 0.5000 0.5000  6 Pm 3.18

ΔH_f (0 K) in meV per atom: 127
Raw total energy in eV per formula unit: -92.68

An optimized crystal structure of RbPu2InBr8, computed with PBE-GGA.

Unit cell a=7.1326 b=8.9097 c=7.7166 alpha=90.00 beta=92.34 gamma=90.00
With the nearest neighbours (Å) after each atom.
Positions (direct):
Rb 0.0000 0.0000 0.0000  6 Br 3.36-3.59
Pu 0.5000 0.2525 0.5000  6 Br 2.82-2.94
Pu 0.5000 0.7475 0.5000  6 Br 2.82-2.94
In 0.0000 0.5000 0.0000  6 Br 3.23-3.54
Br 0.2733 0.5000 0.6280  2 Pu 2.93
Br 0.2759 0.0000 0.6217  2 Pu 2.94
Br 0.2825 0.2611 0.1863  1 Pu 2.82
Br 0.2825 0.7389 0.1863  1 Pu 2.82
Br 0.7175 0.2611 0.8137  1 Pu 2.82
Br 0.7175 0.7389 0.8137  1 Pu 2.82
Br 0.7241 0.0000 0.3783  2 Pu 2.94
Br 0.7267 0.5000 0.3720  2 Pu 2.93

Raw total energy in eV per formula unit: -62.57

An optimized crystal structure of NaURh4S8, computed with PBE-GGA.

Unit cell a=7.1754 b=7.1754 c=7.1754 alpha=61.68 beta=61.68 gamma=61.68
With the nearest neighbours (Å) after each atom.
Positions (direct):
Na 0.0000 0.0000 0.0000  4 S 2.50-2.51
U 0.6178 0.6178 0.6178  6 S 2.60-2.61
Rh 0.1273 0.6254 0.6254  6 S 2.39-2.46
Rh 0.2504 0.2504 0.2504  4 S 2.34-2.38
Rh 0.6254 0.1273 0.6254  6 S 2.39-2.46
Rh 0.6254 0.6254 0.1273  6 S 2.39-2.46
S 0.3649 0.3649 0.8604  3 Rh 2.34-2.44, 1 U 2.60
S 0.3649 0.8604 0.3649  3 Rh 2.34-2.44, 1 U 2.60
S 0.3875 0.3875 0.3875  4 Rh 2.38-2.46
S 0.4200 0.8700 0.8700  2 Rh 2.39, 1 Na 2.51, 1 U 2.61
S 0.8556 0.8556 0.8556  3 Rh 2.40, 1 Na 2.50
S 0.8604 0.3649 0.3649  3 Rh 2.34-2.44, 1 U 2.60
S 0.8700 0.4200 0.8700  2 Rh 2.39, 1 Na 2.51, 1 U 2.61
S 0.8700 0.8700 0.4200  2 Rh 2.39, 1 Na 2.51, 1 U 2.61

Raw total energy in eV per formula unit: -84.32

An optimized crystal structure of YEr2Lu, computed with PBE-GGA.

Unit cell a=3.5102 b=3.5102 c=9.9448 alpha=90.00 beta=90.00 gamma=90.00
With the nearest neighbours (Å) after each atom.
Positions (direct):
Y 0.0000 0.0000 0.0000  4 Y 3.51, 8 Er 3.54
Er 0.5000 0.5000 0.2540  4 Lu 3.49, 4 Er 3.51, 4 Y 3.54
Er 0.5000 0.5000 0.7460  4 Lu 3.49, 4 Er 3.51, 4 Y 3.54
Lu 0.0000 0.0000 0.5000  8 Er 3.49, 4 Lu 3.51

ΔH_f (0 K) in meV per atom: 29
ΔE to the lowest computed polymorph in meV per atom: 0
Raw total energy in eV per formula unit: -19.99

An optimized crystal structure of Cs2In5Pb12, computed with PBE-GGA.

Unit cell a=8.7335 b=8.7335 c=8.7335 alpha=81.81 beta=81.81 gamma=81.81
With the nearest neighbours (Å) after each atom.
Positions (direct):
Cs 0.1559 0.1559 0.1559  15 Pb 4.08-4.47, 4 In 4.22-4.49
Cs 0.8441 0.8441 0.8441  15 Pb 4.08-4.47, 4 In 4.22-4.49
In 0.0000 0.5000 0.5000  8 Pb 3.28-3.33, 2 In 3.50
In 0.4018 0.4018 0.4018  4 In 3.37-3.50, 9 Pb 3.55-3.73
In 0.5000 0.0000 0.5000  8 Pb 3.28-3.33, 2 In 3.50
In 0.5000 0.5000 0.0000  8 Pb 3.28-3.33, 2 In 3.50
In 0.5982 0.5982 0.5982  4 In 3.37-3.50, 9 Pb 3.55-3.73
Pb 0.1535 0.1535 0.6445  3 In 3.28-3.55, 6 Pb 3.41-3.57
Pb 0.1535 0.6445 0.1535  3 In 3.28-3.55, 6 Pb 3.41-3.57
Pb 0.2086 0.5000 0.7914  6 Pb 3.33-3.57, 2 In 3.33
Pb 0.2086 0.7914 0.5000  6 Pb 3.33-3.57, 2 In 3.33
Pb 0.3555 0.8465 0.8465  3 In 3.28-3.55, 6 Pb 3.41-3.57
Pb 0.5000 0.2086 0.7914  6 Pb 3.33-3.57, 2 In 3.33
Pb 0.5000 0.7914 0.2086  6 Pb 3.33-3.57, 2 In 3.33
Pb 0.6445 0.1535 0.1535  3 In 3.28-3.55, 6 Pb 3.41-3.57
Pb 0.7914 0.2086 0.5000  6 Pb 3.33-3.57, 2 In 3.33
Pb 0.7914 0.5000 0.2086  6 Pb 3.33-3.57, 2 In 3.33
Pb 0.8465 0.3555 0.8465  3 In 3.28-3.55, 6 Pb 3.41-3.57
Pb 0.8465 0.8465 0.3555  3 In 3.28-3.55, 6 Pb 3.41-3.57

ΔH_f (0 K) in meV per atom: -44
Raw total energy in eV per formula unit: -60.73

An optimized crystal structure of RbLiTbS2, computed with PBE-GGA.

Unit cell a=8.8046 b=8.8046 c=5.0202 alpha=90.00 beta=90.00 gamma=126.13
With the nearest neighbours (Å) after each atom.
Positions (direct):
Rb 0.2500 0.7500 0.8359  4 S 3.33-3.44
Rb 0.7500 0.2500 0.1641  4 S 3.33-3.44
Li 0.0000 0.0000 0.0000  2 S 2.42
Li 0.5000 0.5000 0.0000  2 S 2.42
Tb 0.2500 0.2500 0.5000  4 S 2.70
Tb 0.7500 0.7500 0.5000  4 S 2.70
S 0.1055 0.8945 0.3501  1 Li 2.42, 2 Tb 2.70
S 0.3945 0.6055 0.3501  1 Li 2.42, 2 Tb 2.70
S 0.6055 0.3945 0.6499  1 Li 2.42, 2 Tb 2.70
S 0.8945 0.1055 0.6499  1 Li 2.42, 2 Tb 2.70

Raw total energy in eV per formula unit: -22.00

An optimized crystal structure of ScCuPOs2, computed with PBE-GGA.

Unit cell a=4.6436 b=4.6436 c=4.0089 alpha=90.00 beta=90.00 gamma=90.00
With the nearest neighbours (Å) after each atom.
Positions (direct):
Sc 0.0000 0.0000 0.0000  8 Os 3.07, 4 P 3.28
Cu 0.5000 0.5000 0.5000  2 P 2.00
P 0.5000 0.5000 0.0000  2 Cu 2.00
Os 0.0000 0.5000 0.5000  2 Cu 2.32
Os 0.5000 0.0000 0.5000  2 Cu 2.32

ΔH_f (0 K) in meV per atom: 1045
Raw total energy in eV per formula unit: -33.07

An optimized crystal structure of K3Be2TeO6, computed with PBE-GGA.

Unit cell a=5.5472 b=5.5472 c=6.9304 alpha=90.00 beta=90.00 gamma=120.00
With the nearest neighbours (Å) after each atom.
Positions (direct):
K 0.0000 0.0000 0.0000  6 O 2.74
K 0.3333 0.6667 0.7464  6 O 2.81, 1 Be 2.92
K 0.6667 0.3333 0.2536  6 O 2.81, 1 Be 2.92
Be 0.3333 0.6667 0.3254  3 O 1.56
Be 0.6667 0.3333 0.6746  3 O 1.56
Te 0.0000 0.0000 0.5000  6 O 2.08
O 0.1713 0.3426 0.3156  1 Be 1.56
O 0.1713 0.8287 0.3156  1 Be 1.56
O 0.3426 0.1713 0.6844  1 Be 1.56
O 0.6574 0.8287 0.3156  1 Be 1.56
O 0.8287 0.1713 0.6844  1 Be 1.56
O 0.8287 0.6574 0.6844  1 Be 1.56

Raw total energy in eV per formula unit: -64.34

An optimized crystal structure of BaTc2Br, computed with PBE-GGA.

Unit cell a=3.2307 b=5.5549 c=9.3531 alpha=90.00 beta=90.00 gamma=90.00
With the nearest neighbours (Å) after each atom.
Positions (direct):
Ba 0.0000 0.0000 0.0000  4 Tc 3.06, 6 Ba 3.21-3.23
Ba 0.5000 0.5000 0.0000  4 Tc 3.06, 6 Ba 3.21-3.23
Tc 0.0000 0.5000 0.2785  2 Br 2.63
Tc 0.0000 0.5000 0.7215  2 Br 2.63
Tc 0.5000 0.0000 0.2785  2 Br 2.63
Tc 0.5000 0.0000 0.7215  2 Br 2.63
Br 0.0000 0.0000 0.5000  4 Tc 2.63
Br 0.5000 0.5000 0.5000  4 Tc 2.63

ΔE to the lowest computed polymorph in meV per atom: 1226
Raw total energy in eV per formula unit: -18.90

An optimized crystal structure of Li4VS4, computed with PBE-GGA.

Unit cell a=14.2282 b=7.7662 c=6.1498 alpha=90.00 beta=90.00 gamma=90.00
With the nearest neighbours (Å) after each atom.
Positions (direct):
Li 0.0000 0.0000 0.0000  6 S 2.58-2.89, 2 Li 2.80
Li 0.0000 0.5000 0.0000  6 S 2.58-2.89, 2 Li 2.80
Li 0.0869 0.2500 0.3678  4 S 2.45-2.46
Li 0.1785 0.0018 0.8076  4 S 2.43-2.56
Li 0.1785 0.4982 0.8076  4 S 2.43-2.56
Li 0.3215 0.5018 0.3076  4 S 2.43-2.56
Li 0.3215 0.9982 0.3076  4 S 2.43-2.56
Li 0.4131 0.7500 0.8678  4 S 2.45-2.46
Li 0.5000 0.0000 0.5000  6 S 2.58-2.89, 2 Li 2.80
Li 0.5000 0.5000 0.5000  6 S 2.58-2.89, 2 Li 2.80
Li 0.5869 0.2500 0.1322  4 S 2.45-2.46
Li 0.6785 0.0018 0.6924  4 S 2.43-2.56
Li 0.6785 0.4982 0.6924  4 S 2.43-2.56
Li 0.8215 0.5018 0.1924  4 S 2.43-2.56
Li 0.8215 0.9982 0.1924  4 S 2.43-2.56
Li 0.9131 0.7500 0.6322  4 S 2.45-2.46
V 0.0865 0.7500 0.3500  4 S 2.21-2.24
V 0.4135 0.2500 0.8500  4 S 2.21-2.24
V 0.5865 0.7500 0.1500  4 S 2.21-2.24
V 0.9135 0.2500 0.6500  4 S 2.21-2.24
S 0.0630 0.2500 0.7640  1 V 2.24, 1 Li 2.46
S 0.0826 0.7500 0.7100  1 V 2.21, 3 Li 2.46
S 0.1553 0.5147 0.2191  1 V 2.22, 2 Li 2.43-2.45
S 0.1553 0.9853 0.2191  1 V 2.22, 2 Li 2.43-2.45
S 0.3447 0.0147 0.7191  1 V 2.22, 2 Li 2.43-2.45
S 0.3447 0.4853 0.7191  1 V 2.22, 2 Li 2.43-2.45
S 0.4174 0.2500 0.2100  1 V 2.21, 3 Li 2.46
S 0.4370 0.7500 0.2640  1 V 2.24, 1 Li 2.46
S 0.5630 0.2500 0.7360  1 V 2.24, 1 Li 2.46
S 0.5826 0.7500 0.7900  1 V 2.21, 3 Li 2.46
S 0.6553 0.5147 0.2809  1 V 2.22, 2 Li 2.43-2.45
S 0.6553 0.9853 0.2809  1 V 2.22, 2 Li 2.43-2.45
S 0.8447 0.0147 0.7809  1 V 2.22, 2 Li 2.43-2.45
S 0.8447 0.4853 0.7809  1 V 2.22, 2 Li 2.43-2.45
S 0.9174 0.2500 0.2900  1 V 2.21, 3 Li 2.46
S 0.9370 0.7500 0.2360  1 V 2.24, 1 Li 2.46

Raw total energy in eV per formula unit: -43.52

An optimized crystal structure of LiHgPb2, computed with PBE-GGA.

Unit cell a=6.7093 b=8.8261 c=3.5298 alpha=90.00 beta=90.00 gamma=90.00
With the nearest neighbours (Å) after each atom.
Positions (direct):
Li 0.0000 0.0000 0.0000  8 Pb 3.29, 2 Hg 3.35, 2 Li 3.53
Li 0.5000 0.5000 0.0000  8 Pb 3.29, 2 Hg 3.35, 2 Li 3.53
Hg 0.0000 0.5000 0.0000  8 Pb 3.29, 2 Li 3.35, 2 Hg 3.53
Hg 0.5000 0.0000 0.0000  8 Pb 3.29, 2 Li 3.35, 2 Hg 3.53
Pb 0.2500 0.2500 0.5000  4 Li 3.29, 4 Hg 3.29, 4 Pb 3.35-3.53
Pb 0.2500 0.7500 0.5000  4 Hg 3.29, 4 Li 3.29, 4 Pb 3.35-3.53
Pb 0.7500 0.2500 0.5000  4 Hg 3.29, 4 Li 3.29, 4 Pb 3.35-3.53
Pb 0.7500 0.7500 0.5000  4 Li 3.29, 4 Hg 3.29, 4 Pb 3.35-3.53

ΔH_f (0 K) in meV per atom: -93
Raw total energy in eV per formula unit: -10.00

Table of density of states at the Fermi level (states/eV per atom), in record order: 1.794; 1.991; 0.925; 1.353; 0.533; 0.212; 0.910; 0.210; 1.504; 0.426; 0.508
Table of size of the total moment (μB/atom), in record order: 0.000; 0.833; 0.061; 0.000; 0.000; 0.000; 0.000; 0.000; 0.226; 0.111; 0.000